VASP calculation (GGA-PBE) on a geometry-optimized AcErTh structure.

Properties
For the total energy, the calculation gives -15.813 eV for the cell shown. As for the density of states at the Fermi level: 5.12 states/eV per cell. Its excess energy over the best structure of this formula in the dataset is 0 meV/atom. For the volume, the calculation gives 106.8 Å³/cell.

```
AcErTh
1.0
-1.8532 1.8532 7.7725
1.8532 -1.8532 7.7725
1.8532 1.8532 -7.7725
Ac Er Th
1 1 1
Cartesian
0.0000 0.0000 0.0000
0.0000 0.0000 10.6171
0.0000 0.0000 5.1552
```